# TlSbPb2, optimized geometry, DFT PBE
data_TlSbPb2
_cell_length_a 4.011
_cell_length_b 5.539
_cell_length_c 11.019
_cell_angle_alpha 90.00
_cell_angle_beta 90.00
_cell_angle_gamma 90.00
_space_group_name_H-M_alt 'C m m m'
_space_group_IT_number 65
_space_group_name_Hall '-C 2 2'
loop_
_atom_site_label
_atom_site_type_symbol
_atom_site_fract_x
_atom_site_fract_y
_atom_site_fract_z
Tl1 Tl 0.000 0.000 0.000
Sb1 Sb 0.000 0.000 0.500
Pb1 Pb 0.000 0.500 0.258
# Energy relative to the elements, uncorrected in eV per atom: 0.0757
# Calculated total energy in eV/atom: -3.40
# ΔE to the lowest computed polymorph in meV/atom: 63
# Density in Mg/m³: 10.05
# Volume in Å³/atom: 30.6